# MgW4O8, optimized geometry, DFT GGA+U
# magnetic moment = 10.00 μB/f.u.
# energy relative to the lowest polymorph listed for this composition = 81 meV/atom
data_MgW4O8
_symmetry_space_group_name_H-M 'R -3 m'
_symmetry_Int_Tables_number 166
_symmetry_space_group_name_Hall '-R 3 2"'
_cell_length_a 6.5378
_cell_length_b 6.5378
_cell_length_c 14.6973
_cell_angle_alpha 90.00
_cell_angle_beta 90.00
_cell_angle_gamma 120.00
loop_
_atom_site_label
_atom_site_fract_x
_atom_site_fract_y
_atom_site_fract_z
Mg1 0.0000 0.0000 0.0000
W1 0.0000 0.0000 0.5000
W2 0.0000 0.5000 0.5000
O1 0.0000 0.0000 0.2273
O2 0.0176 0.5088 0.7597